w.
## PaNbNi (PBE)

Data for a relaxed structure of PaNbNi.

Structure (extended XYZ):
```
3
Lattice="-1.483 1.483 6.183 1.483 -1.483 6.183 1.483 1.483 -6.183" Properties=species:S:1:pos:R:3 pbc="T T T"
Pa 0.000 0.000 0.000
Nb 0.000 0.000 3.725
Ni 0.000 0.000 8.230
```

Summary:
Its space-group type is I4mm, No. 107. For the density of states at the Fermi level, the calculation gives 1.312 states/eV per atom. For the mass density, the calculation gives 11684 kg/m3.



x.
## PaNbNi (PBE)

Data for a relaxed structure of PaNbNi.

Structure (extended XYZ):
```
3
Lattice="4.543 0.000 0.000 -2.272 3.935 0.000 0.000 0.000 3.004" Properties=species:S:1:pos:R:3 pbc="T T T"
Pa 0.000 0.000 0.000
Nb 0.000 2.623 0.837
Ni 2.272 1.312 2.069
```

Summary:
Its space-group type is P3m1, No. 156. For the density of states at the Fermi level, the calculation gives 1.951 states/eV per atom. For the mass density, the calculation gives 11834 kg/m3.



Of them, the most stable is w and the least stable is x.



w.
## NbNiPb3 (PBE)

Data for a relaxed structure of NbNiPb3.

Structure (extended XYZ):
```
5
Lattice="5.057 0.000 0.000 0.000 5.057 0.000 0.000 0.000 5.057" Properties=species:S:1:pos:R:3 pbc="T T T"
Nb 0.000 0.000 0.000
Ni 2.529 2.529 2.529
Pb 0.000 2.529 2.529
Pb 2.529 0.000 2.529
Pb 2.529 2.529 0.000
```

Summary:
Its space-group type is Pm-3m, No. 221. For the density of states at the Fermi level, the calculation gives 1.798 states/eV per atom. For the mass density, the calculation gives 9928 kg/m3.



x.
## NbNiPb3 (PBE)

Data for a relaxed structure of NbNiPb3.

Structure (extended XYZ):
```
5
Lattice="5.489 0.000 0.000 0.000 5.489 0.000 0.000 0.000 5.489" Properties=species:S:1:pos:R:3 pbc="T T T"
Nb 0.000 0.000 0.000
Ni 2.745 2.745 2.745
Pb 0.000 0.000 2.745
Pb 0.000 2.745 0.000
Pb 2.745 0.000 0.000
```

Summary:
Its space-group type is Pm-3m, No. 221. For the density of states at the Fermi level, the calculation gives 2.777 states/eV per atom. For the mass density, the calculation gives 7763 kg/m3.



Of them, the most stable is w and the least stable is x.



w.
## NbNiPd3 (PBE)

Data for a relaxed structure of NbNiPd3.

Structure (extended XYZ):
```
10
Lattice="-4.393 3.438 2.753 4.393 -3.438 2.753 4.393 3.438 -2.753" Properties=species:S:1:pos:R:3 pbc="T T T"
Nb 2.197 0.384 0.000
Nb 2.197 3.054 2.753
Ni 6.590 1.710 -1.174
Ni -2.197 1.728 1.579
Pd 4.150 1.918 -1.432
Pd 4.636 -1.519 1.321
Pd 0.243 1.519 1.321
Pd 4.150 1.519 1.321
Pd 2.197 3.074 0.099
Pd 2.197 0.363 2.853
```

Summary:
Its space-group type is Ima2, No. 46. For the density of states at the Fermi level, the calculation gives 0.744 states/eV per atom. For the mass density, the calculation gives 9401 kg/m3.



x.
## NbNiPd3 (PBE)

Data for a relaxed structure of NbNiPd3.

Structure (extended XYZ):
```
5
Lattice="4.790 0.000 0.000 0.000 4.790 0.000 0.000 0.000 4.790" Properties=species:S:1:pos:R:3 pbc="T T T"
Nb 0.000 0.000 0.000
Ni 2.395 2.395 2.395
Pd 0.000 0.000 2.395
Pd 0.000 2.395 0.000
Pd 2.395 0.000 0.000
```

Summary:
Its space-group type is Pm-3m, No. 221. For the density of states at the Fermi level, the calculation gives 1.153 states/eV per atom. For the mass density, the calculation gives 7113 kg/m3.



Of them, the most stable is w and the least stable is x.



w.
## NbNi2Pd (PBE)

Data for a relaxed structure of NbNi2Pd.

Structure (extended XYZ):
```
4
Lattice="0.000 3.015 3.015 3.015 0.000 3.015 3.015 3.015 0.000" Properties=species:S:1:pos:R:3 pbc="T T T"
Nb 0.000 0.000 0.000
Ni 1.508 1.508 1.508
Ni 4.523 4.523 4.523
Pd 3.015 3.015 3.015
```

Summary:
Its space-group type is Fm-3m, No. 225. For the density of states at the Fermi level, the calculation gives 1.367 states/eV per atom. For the mass density, the calculation gives 9594 kg/m3.



x.
## NbNi2Pd (PBE)

Data for a relaxed structure of NbNi2Pd.

Structure (extended XYZ):
```
4
Lattice="3.222 0.000 0.000 0.000 3.222 0.000 0.000 0.000 5.376" Properties=species:S:1:pos:R:3 pbc="T T T"
Nb 0.000 0.000 0.000
Ni 1.611 1.611 1.281
Ni 1.611 1.611 4.094
Pd 0.000 0.000 2.688
```

Summary:
Its space-group type is P4/mmm, No. 123. For the density of states at the Fermi level, the calculation gives 0.566 states/eV per atom. For the mass density, the calculation gives 9424 kg/m3.



y.
## NbNi2Pd (PBE)

Data for a relaxed structure of NbNi2Pd.

Structure (extended XYZ):
```
8
Lattice="4.396 0.000 0.000 0.000 5.362 0.000 0.000 0.000 4.623" Properties=species:S:1:pos:R:3 pbc="T T T"
Nb 1.099 1.340 0.800
Nb 3.297 4.021 3.824
Ni 1.099 0.003 3.073
Ni 1.099 2.678 3.073
Ni 3.297 5.359 1.551
Ni 3.297 2.684 1.551
Pd 1.099 4.021 0.833
Pd 3.297 1.340 3.790
```

Summary:
Its space-group type is Pmmn, No. 59. For the density of states at the Fermi level, the calculation gives 0.717 states/eV per atom. For the mass density, the calculation gives 9651 kg/m3.



Of them, the most stable is y and the least stable is w.